a.
This record from the Alexandria database describes crystalline BiSN2F at its relaxed geometry. The functional is PBE.

a = 4.499 Å, b = 4.499 Å, c = 5.411 Å
α = 90.00°, β = 90.00°, γ = 90.00°
Space group P4/mmm (No. 123)
One atom of each set of equivalent atoms:
Bi: 0.000 0.000 0.000 [1 per cell]
S: 0.000 0.000 0.500 [1 per cell]
N: 0.000 0.500 0.000 [2 per cell]
F: 0.500 0.500 0.500 [1 per cell]

Values from the calculation:
total magnetic moment: 4.91 Bohr magnetons per cell

---

b.
This record from the Alexandria database describes crystalline BiSN2F at its relaxed geometry. The functional is PBE.

a = 3.893 Å, b = 3.893 Å, c = 4.056 Å
α = 90.00°, β = 90.00°, γ = 90.00°
Space group P4/mmm (No. 123)
One atom of each set of equivalent atoms:
Bi: 0.000 0.000 0.000 [1 per cell]
S: 0.500 0.500 0.500 [1 per cell]
N: 0.000 0.500 0.500 [2 per cell]
F: 0.500 0.500 0.000 [1 per cell]

Values from the calculation:
total magnetic moment: 0.00 Bohr magnetons per cell

---

c.
This record from the Alexandria database describes crystalline BiSN2F at its relaxed geometry. The functional is PBE.

a = 4.401 Å, b = 4.401 Å, c = 4.288 Å
α = 90.00°, β = 90.00°, γ = 90.00°
Space group P4/mmm (No. 123)
One atom of each set of equivalent atoms:
Bi: 0.000 0.000 0.000 [1 per cell]
S: 0.500 0.500 0.500 [1 per cell]
N: 0.000 0.500 0.000 [2 per cell]
F: 0.000 0.000 0.500 [1 per cell]

Values from the calculation:
total magnetic moment: 0.57 Bohr magnetons per cell

---

Which of them is the most stable? Correct choice: b.

---

a.
This record from the Alexandria database describes crystalline BiSNF2 at its relaxed geometry. The functional is PBE.

a = 4.417 Å, b = 4.417 Å, c = 4.666 Å
α = 90.00°, β = 90.00°, γ = 90.00°
Space group P4/mmm (No. 123)
One atom of each set of equivalent atoms:
Bi: 0.000 0.000 0.000 [1 per cell]
S: 0.500 0.500 0.500 [1 per cell]
N: 0.000 0.000 0.500 [1 per cell]
F: 0.000 0.500 0.000 [2 per cell]

Values from the calculation:
total magnetic moment: 1.39 Bohr magnetons per cell

---

b.
This record from the Alexandria database describes crystalline BiSNF2 at its relaxed geometry. The functional is PBE.

a = 4.968 Å, b = 4.968 Å, c = 3.237 Å
α = 90.00°, β = 90.00°, γ = 90.00°
Space group P4/mmm (No. 123)
One atom of each set of equivalent atoms:
Bi: 0.000 0.000 0.000 [1 per cell]
S: 0.500 0.500 0.500 [1 per cell]
N: 0.500 0.500 0.000 [1 per cell]
F: 0.000 0.500 0.500 [2 per cell]

Values from the calculation:
total magnetic moment: 0.00 Bohr magnetons per cell

---

Which of them is the most stable? Correct choice: b.

---

a.
This record from the Alexandria database describes crystalline BiSbN2F at its relaxed geometry. The functional is PBE.

a = 4.228 Å, b = 4.228 Å, c = 4.204 Å
α = 90.00°, β = 90.00°, γ = 90.00°
Space group P4/mmm (No. 123)
One atom of each set of equivalent atoms:
Bi: 0.000 0.000 0.000 [1 per cell]
Sb: 0.500 0.500 0.500 [1 per cell]
N: 0.000 0.500 0.500 [2 per cell]
F: 0.500 0.500 0.000 [1 per cell]

Values from the calculation:
total magnetic moment: 0.00 Bohr magnetons per cell

---

b.
This record from the Alexandria database describes crystalline BiSbN2F at its relaxed geometry. The functional is PBE.

a = 4.418 Å, b = 4.418 Å, c = 4.321 Å
α = 90.00°, β = 90.00°, γ = 90.00°
Space group P4/mmm (No. 123)
One atom of each set of equivalent atoms:
Bi: 0.000 0.000 0.000 [1 per cell]
Sb: 0.500 0.500 0.500 [1 per cell]
N: 0.000 0.500 0.000 [2 per cell]
F: 0.000 0.000 0.500 [1 per cell]

Values from the calculation:
total magnetic moment: 0.00 Bohr magnetons per cell

---

Which of them is the most stable? Correct choice: a.

---

a.
This record from the Alexandria database describes crystalline ScBiN2F at its relaxed geometry. The functional is PBE.

a = 4.256 Å, b = 4.256 Å, c = 3.972 Å
α = 90.00°, β = 90.00°, γ = 90.00°
Space group P4/mmm (No. 123)
One atom of each set of equivalent atoms:
Sc: 0.000 0.000 0.000 [1 per cell]
Bi: 0.500 0.500 0.500 [1 per cell]
N: 0.000 0.500 0.000 [2 per cell]
F: 0.000 0.000 0.500 [1 per cell]

Values from the calculation:
total magnetic moment: 0.00 Bohr magnetons per cell

---

b.
This record from the Alexandria database describes crystalline ScBiN2F at its relaxed geometry. The functional is PBE.

a = 4.372 Å, b = 4.372 Å, c = 4.266 Å
α = 90.00°, β = 90.00°, γ = 90.00°
Space group P4/mmm (No. 123)
One atom of each set of equivalent atoms:
Sc: 0.000 0.000 0.000 [1 per cell]
Bi: 0.500 0.500 0.500 [1 per cell]
N: 0.000 0.500 0.500 [2 per cell]
F: 0.500 0.500 0.000 [1 per cell]

Values from the calculation:
total magnetic moment: 0.27 Bohr magnetons per cell

---

Which of them is the most stable? Correct choice: a.